DFT (PBE with a Hubbard U) results for a relaxed structure of CaMn2HO.

VASP energy   -5.23 eV per atom
Mass density   2.79 g/cm3
SG   P4/mmm
Crystal system   tetragonal

a b c (Å): 3.976 3.976 6.295
angles (deg): 90.00 90.00 90.00
Atoms (fractional coordinates):
Ca 0.000 0.000 0.000
Mn 0.000 0.500 0.500
Mn 0.500 0.000 0.500
H 0.500 0.500 0.000
O 0.500 0.500 0.500

DFT (PBE with a Hubbard U) results for a relaxed structure of Ca3MnH12S2O17.

VASP energy   -5.78 eV per atom
Mass density   2.49 g/cm3
SG   P6_3/mmc
Crystal system   hexagonal

a b c (Å): 8.597 8.597 10.911
angles (deg): 90.00 90.00 120.00
Atoms (fractional coordinates):
Ca 0.152 0.303 0.250
Ca 0.152 0.848 0.250
Ca 0.303 0.152 0.750
Ca 0.697 0.848 0.250
Ca 0.848 0.152 0.750
Ca 0.848 0.697 0.750
Mn 0.000 0.000 0.000
Mn 0.000 0.000 0.500
H 0.107 0.553 0.681
H 0.107 0.553 0.819
H 0.156 0.312 0.558
H 0.156 0.312 0.942
H 0.156 0.844 0.558
H 0.156 0.844 0.942
H 0.312 0.156 0.058
H 0.312 0.156 0.442
H 0.447 0.553 0.681
H 0.447 0.553 0.819
H 0.447 0.893 0.681
H 0.447 0.893 0.819
H 0.553 0.107 0.181
H 0.553 0.107 0.319
H 0.553 0.447 0.181
H 0.553 0.447 0.319
H 0.688 0.844 0.558
H 0.688 0.844 0.942
H 0.844 0.156 0.058
H 0.844 0.156 0.442
H 0.844 0.688 0.058
H 0.844 0.688 0.442
H 0.893 0.447 0.181
H 0.893 0.447 0.319
S 0.333 0.667 0.026
S 0.333 0.667 0.474
S 0.667 0.333 0.526
S 0.667 0.333 0.974
O 0.021 0.510 0.750
O 0.102 0.204 0.611
O 0.102 0.204 0.889
O 0.102 0.898 0.611
O 0.102 0.898 0.889
O 0.204 0.102 0.111
O 0.204 0.102 0.389
O 0.239 0.477 0.068
O 0.239 0.477 0.432
O 0.239 0.761 0.068
O 0.239 0.761 0.432
O 0.333 0.667 0.612
O 0.333 0.667 0.888
O 0.477 0.239 0.568
O 0.477 0.239 0.932
O 0.490 0.510 0.750
O 0.490 0.979 0.750
O 0.510 0.021 0.250
O 0.510 0.490 0.250
O 0.523 0.761 0.068
O 0.523 0.761 0.432
O 0.667 0.333 0.112
O 0.667 0.333 0.388
O 0.761 0.239 0.568
O 0.761 0.239 0.932
O 0.761 0.523 0.568
O 0.761 0.523 0.932
O 0.796 0.898 0.611
O 0.796 0.898 0.889
O 0.898 0.102 0.111
O 0.898 0.102 0.389
O 0.898 0.796 0.111
O 0.898 0.796 0.389
O 0.979 0.490 0.250

DFT (PBE with a Hubbard U) results for a relaxed structure of Ca2Mn2Si4H6O17.

VASP energy   -6.72 eV per atom
Mass density   2.87 g/cm3
SG   P1
Crystal system   triclinic

a b c (Å): 5.343 5.576 12.096
angles (deg): 88.13 87.39 68.64
Atoms (fractional coordinates):
Ca 0.000 0.000 0.000
Ca 0.392 0.409 0.466
Mn 0.195 0.707 0.732
Mn 0.694 0.206 0.733
Si 0.587 0.612 0.129
Si 0.677 0.650 0.884
Si 0.713 0.763 0.580
Si 0.780 0.825 0.336
H 0.097 0.108 0.542
H 0.173 0.650 0.240
H 0.266 0.390 0.047
H 0.300 0.293 0.922
H 0.753 0.233 0.225
H 0.989 0.145 0.417
O 0.036 0.629 0.604
O 0.063 0.057 0.684
O 0.104 0.646 0.321
O 0.137 0.148 0.464
O 0.272 0.667 0.115
O 0.287 0.238 0.001
O 0.325 0.358 0.781
O 0.355 0.788 0.860
O 0.539 0.608 0.647
O 0.602 0.072 0.600
O 0.624 0.776 0.231
O 0.677 0.704 0.449
O 0.720 0.703 0.016
O 0.723 0.128 0.347
O 0.770 0.302 0.146
O 0.786 0.340 0.866
O 0.853 0.804 0.817